Run i
This record from Alexandria describes a relaxed MnAgS3 crystal. The functional is PBE.

Unit cell a=4.7926 b=4.7926 c=4.7926 alpha=90.00 beta=90.00 gamma=90.00
Last column: nearest neighbours and their distance in Å.
Positions (direct):
Mn 0.5000 0.5000 0.5000  12 S 3.39
S 0.0000 0.5000 0.0000  2 Ag 2.40
S 0.0000 0.0000 0.5000  2 Ag 2.40
S 0.5000 0.0000 0.0000  2 Ag 2.40
Ag 0.0000 0.0000 0.0000  6 S 2.40

Run ii
This record from Alexandria describes a relaxed MnAgS3 crystal. The functional is PBE.

Unit cell a=6.0269 b=7.9553 c=7.9553 alpha=82.51 beta=94.41 gamma=94.41
Last column: nearest neighbours and their distance in Å.
Positions (direct):
Mn 0.2500 0.7383 0.2617  6 S 2.23-2.41
Mn 0.7500 0.9228 0.0772  6 S 2.32-2.38
Mn 0.2500 0.0772 0.9228  6 S 2.32-2.38
Mn 0.7500 0.2617 0.7383  6 S 2.23-2.41
S 0.0618 0.4924 0.3406  1 Mn 2.23, 1 Ag 2.47
S 0.9701 0.9007 0.3302  2 Mn 2.32-2.34, 1 Ag 2.52
S 0.9368 0.1951 0.0147  3 Mn 2.37-2.41
S 0.4368 0.0147 0.1951  3 Mn 2.37-2.41
S 0.5299 0.6698 0.0993  2 Mn 2.32-2.34, 1 Ag 2.52
S 0.0299 0.0993 0.6698  2 Mn 2.32-2.34, 1 Ag 2.52
S 0.0632 0.8049 0.9853  3 Mn 2.37-2.41
S 0.5632 0.9853 0.8049  3 Mn 2.37-2.41
S 0.9382 0.5076 0.6594  1 Mn 2.23, 1 Ag 2.47
S 0.5618 0.3406 0.4924  1 Mn 2.23, 1 Ag 2.47
S 0.4382 0.6594 0.5076  1 Mn 2.23, 1 Ag 2.47
S 0.4701 0.3302 0.9007  2 Mn 2.32-2.34, 1 Ag 2.52
Ag 0.2820 0.6045 0.8197  5 S 2.47-2.69
Ag 0.7820 0.8197 0.6045  5 S 2.47-2.69
Ag 0.2180 0.1803 0.3955  5 S 2.47-2.69
Ag 0.7180 0.3955 0.1803  5 S 2.47-2.69

Run iii
This record from Alexandria describes a relaxed MnAgS3 crystal. The functional is PBE.

Unit cell a=4.5782 b=4.5782 c=4.5782 alpha=90.00 beta=90.00 gamma=90.00
Last column: nearest neighbours and their distance in Å.
Positions (direct):
Ag 0.5000 0.5000 0.5000  12 S 3.24
S 0.0000 0.0000 0.5000  2 Mn 2.29
S 0.5000 0.0000 0.0000  2 Mn 2.29
S 0.0000 0.5000 0.0000  2 Mn 2.29
Mn 0.0000 0.0000 0.0000  6 S 2.29

run ii ends up most stable, edging out the next structure by 435 meV/atom.

Run i
This record from Alexandria describes a relaxed Mn2AgS4 crystal. The functional is PBE.

Unit cell a=7.0872 b=7.0891 c=7.0908 alpha=119.99 beta=120.00 gamma=90.01
Last column: nearest neighbours and their distance in Å.
Positions (direct):
S 0.8592 0.5776 0.7182  3 Mn 2.36, 1 Ag 2.45
S 0.3906 0.6090 0.2182  3 Mn 2.36, 1 Ag 2.45
S 0.8275 0.6091 0.2182  3 Mn 2.36, 1 Ag 2.45
S 0.8594 0.1411 0.2819  3 Mn 2.36, 1 Ag 2.45
S 0.3908 0.1724 0.7818  3 Mn 2.36, 1 Ag 2.45
S 0.8590 0.1407 0.7182  3 Mn 2.36, 1 Ag 2.45
S 0.4225 0.1409 0.2818  3 Mn 2.36, 1 Ag 2.45
S 0.3910 0.6094 0.7818  3 Mn 2.36, 1 Ag 2.45
Mn 0.6250 0.8750 0.2500  6 S 2.36
Mn 0.1250 0.3750 0.7500  6 S 2.36
Mn 0.6250 0.3750 0.7500  6 S 2.36
Mn 0.6250 0.3750 0.2500  6 S 2.36
Ag 0.9999 0.0000 0.0000  4 S 2.45
Ag 0.2500 0.7499 0.5000  4 S 2.45

Run ii
This record from Alexandria describes a relaxed Mn2AgS4 crystal. The functional is PBE.

Unit cell a=3.3566 b=5.8039 c=6.9431 alpha=100.98 beta=90.00 gamma=90.00
Last column: nearest neighbours and their distance in Å.
Positions (direct):
S 0.5000 0.7907 0.8054  3 Mn 2.34-2.35
S 0.0000 0.7090 0.1906  3 Mn 2.33-2.34, 1 Ag 2.47
S 0.0000 0.2910 0.8094  3 Mn 2.33-2.34, 1 Ag 2.47
S 0.5000 0.2093 0.1946  3 Mn 2.34-2.35
Mn 0.0000 0.0000 0.0000  6 S 2.34
Mn 0.5000 0.5000 0.0000  6 S 2.33-2.35
Ag 0.0000 0.0000 0.5000  2 S 2.47

run i ends up most stable, edging out the next structure by 17 meV/atom.

Run i
This record from Alexandria describes a relaxed MnAg2SnS4 crystal. The functional is PBE.

Unit cell a=5.6462 b=5.6462 c=7.2047 alpha=113.07 beta=113.07 gamma=90.00
Last column: nearest neighbours and their distance in Å.
Positions (direct):
Mn 0.0001 0.0001 0.0002  4 S 2.42
S 0.3636 0.8692 0.2327  1 Mn 2.42, 1 Sn 2.45, 2 Ag 2.56
S 0.8692 0.3636 0.2327  1 Mn 2.42, 1 Sn 2.45, 2 Ag 2.56
S 0.1308 0.1308 0.7674  1 Mn 2.42, 1 Sn 2.45, 2 Ag 2.56
S 0.6366 0.6366 0.7674  1 Mn 2.42, 1 Sn 2.45, 2 Ag 2.56
Ag 0.2501 0.7501 0.5001  4 S 2.56
Ag 0.7501 0.2501 0.5001  4 S 2.56
Sn 0.5000 0.5000 0.0000  4 S 2.45

Run ii
This record from Alexandria describes a relaxed MnAg2SnS4 crystal. The functional is PBE.

Unit cell a=6.7214 b=7.1631 c=7.9482 alpha=90.00 beta=90.00 gamma=90.00
Last column: nearest neighbours and their distance in Å.
Positions (direct):
S 0.8669 0.3492 0.5000  1 Mn 2.39, 1 Sn 2.44, 2 Ag 2.57
S 0.8576 0.3504 0.0000  1 Mn 2.40, 1 Sn 2.44, 2 Ag 2.58
S 0.8953 0.8306 0.2528  1 Mn 2.43, 1 Sn 2.46, 2 Ag 2.54-2.58
S 0.8953 0.8306 0.7472  1 Mn 2.43, 1 Sn 2.46, 2 Ag 2.54-2.58
S 0.3953 0.1694 0.2472  1 Mn 2.43, 1 Sn 2.46, 2 Ag 2.54-2.58
S 0.3953 0.1694 0.7528  1 Mn 2.43, 1 Sn 2.46, 2 Ag 2.54-2.58
S 0.3669 0.6508 0.0000  1 Mn 2.39, 1 Sn 2.44, 2 Ag 2.57
S 0.3576 0.6496 0.5000  1 Mn 2.40, 1 Sn 2.44, 2 Ag 2.58
Sn 0.5033 0.3382 0.5000  4 S 2.44-2.46
Sn 0.0033 0.6618 0.0000  4 S 2.44-2.46
Mn 0.5003 0.3420 0.0000  4 S 2.39-2.43
Mn 0.0003 0.6580 0.5000  4 S 2.39-2.43
Ag 0.5168 0.8274 0.7479  4 S 2.54-2.58
Ag 0.0168 0.1726 0.7521  4 S 2.54-2.58
Ag 0.5168 0.8274 0.2521  4 S 2.54-2.58
Ag 0.0168 0.1726 0.2479  4 S 2.54-2.58

run ii ends up most stable, edging out the next structure by 7 meV/atom.